# 1
DFT (GGA-PBEsol) results for InHg2Bi after structural relaxation.

Unit cell a=8.267 b=8.267 c=6.210 alpha=90.00 beta=90.00 gamma=90.00
Space group I-42d (No. 122)
Symmetry-distinct sites (fractional):
In1 0.000 0.000 0.000 [4 per cell]
Hg1 0.241 0.250 0.125 [8 per cell]
Bi1 0.000 0.000 0.500 [4 per cell]

## Properties
- Calculated total energy: -32.85 eV per cell
- Volume: 424 Å³/cell
- Spin magnetization: 0.0 μB per formula unit

=====

# 2
DFT (GGA-PBEsol) results for In3HgBi after structural relaxation.

Unit cell a=5.392 b=5.392 c=5.392 alpha=90.00 beta=90.00 gamma=90.00
Space group Pm-3m (No. 221)
Symmetry-distinct sites (fractional):
In1 0.000 0.000 0.500 [3 per cell]
Hg1 0.000 0.000 0.000 [1 per cell]
Bi1 0.500 0.500 0.500 [1 per cell]

## Properties
- Calculated total energy: -12.21 eV per cell
- Volume: 157 Å³/cell
- Spin magnetization: 0.0 μB per formula unit

=====

# 3
DFT (GGA-PBEsol) results for InHgBi2 after structural relaxation.

Unit cell a=6.738 b=6.738 c=13.017 alpha=90.00 beta=90.00 gamma=90.00
Space group I-42d (No. 122)
Symmetry-distinct sites (fractional):
In1 0.000 0.000 0.000 [4 per cell]
Hg1 0.000 0.000 0.500 [4 per cell]
Bi1 0.245 0.250 0.625 [8 per cell]

## Properties
- Calculated total energy: -45.79 eV per cell
- Volume: 591 Å³/cell
- Spin magnetization: 0.0 μB per formula unit

=====

# 4
DFT (GGA-PBEsol) results for In2Hg2Bi after structural relaxation.

Unit cell a=8.609 b=8.609 c=3.462 alpha=90.00 beta=90.00 gamma=90.00
Space group P4/mbm (No. 127)
Symmetry-distinct sites (fractional):
In1 0.138 0.362 0.000 [4 per cell]
Hg1 0.161 0.661 0.500 [4 per cell]
Bi1 0.000 0.000 0.500 [2 per cell]

## Properties
- Calculated total energy: -22.69 eV per cell
- Volume: 257 Å³/cell
- Energy relative to the lowest polymorph listed for this composition: 0 meV/atom
- Spin magnetization: 0.0 μB per formula unit

=====

| no. | energy of formation (meV/atom) |
| --- | --- |
| 1 | 47 |
| 2 | 319 |
| 3 | 168 |
| 4 | 8 |